1:
Here is a relaxed RePt2 crystal from Alexandria. Energies are from PBE.

a b c (Å): 3.361 4.752 3.361
angles (deg): 69.29 90.00 110.71
Fractional positions:
Pt (0.666, 0.333, 0.334)
Pt (0.334, 0.667, 0.666)
Re (0.000, 0.000, 0.000)

Values from the calculation:
magnetic moment	0.02	μB/cell
density of states at the Fermi level	3.4	states/eV/f.u.

***

2:
Here is a relaxed RePt2 crystal from Alexandria. Energies are from PBE.

a b c (Å): 5.096 5.096 5.096
angles (deg): 103.98 103.98 121.13
Fractional positions:
Pt (0.854, 0.646, 0.500)
Pt (0.146, 0.354, 0.500)
Pt (0.646, 0.146, 0.792)
Pt (0.354, 0.854, 0.208)
Re (0.250, 0.250, 0.000)
Re (0.750, 0.750, 0.000)

Values from the calculation:
magnetic moment	0.00	μB/cell
density of states at the Fermi level	3.2	states/eV/f.u.

***

Which of them is the most stable? Correct choice: 1.

***

1:
Here is a relaxed RePt2 crystal from Alexandria. Energies are from PBE.

a b c (Å): 12.679 12.679 12.679
angles (deg): 167.55 167.55 17.64
Fractional positions:
Pt (0.424, 0.424, 0.000)
Pt (0.326, 0.826, 0.500)
Pt (0.576, 0.576, 0.000)
Pt (0.174, 0.674, 0.500)
Re (0.750, 0.250, 0.500)
Re (0.000, 0.000, 0.000)

Values from the calculation:
magnetic moment	0.00	μB/cell
density of states at the Fermi level	2.3	states/eV/f.u.

***

2:
Here is a relaxed RePt2 crystal from Alexandria. Energies are from PBE.

a b c (Å): 3.637 3.637 4.787
angles (deg): 90.00 90.00 120.00
Fractional positions:
Re (0.000, 0.000, 0.000)
Pt (0.667, 0.333, 0.705)
Pt (0.333, 0.667, 0.295)

Values from the calculation:
magnetic moment	0.00	μB/cell
density of states at the Fermi level	1.9	states/eV/f.u.

***

Which of them is the most stable? Correct choice: 1.

***

1:
Here is a relaxed RePt2 crystal from Alexandria. Energies are from PBE.

a b c (Å): 7.633 7.633 2.757
angles (deg): 90.00 90.00 120.00
Fractional positions:
Re (0.000, 0.000, 0.500)
Re (0.333, 0.667, 0.000)
Re (0.667, 0.333, 0.000)
Pt (0.701, 0.701, 0.000)
Pt (0.631, 0.000, 0.500)
Pt (0.299, 0.000, 0.000)
Pt (0.000, 0.299, 0.000)
Pt (0.369, 0.369, 0.500)
Pt (0.000, 0.631, 0.500)

Values from the calculation:
magnetic moment	0.00	μB/cell
density of states at the Fermi level	2.9	states/eV/f.u.

***

2:
Here is a relaxed RePt2 crystal from Alexandria. Energies are from PBE.

a b c (Å): 2.789 5.358 6.590
angles (deg): 75.40 90.00 105.09
Fractional positions:
Re (0.670, 0.340, 0.670)
Re (0.719, 0.438, 0.053)
Pt (0.329, 0.657, 0.331)
Pt (0.008, 0.017, 0.992)
Pt (0.060, 0.121, 0.392)
Pt (0.380, 0.761, 0.730)

Values from the calculation:
magnetic moment	0.00	μB/cell
density of states at the Fermi level	2.3	states/eV/f.u.

***

3:
Here is a relaxed RePt2 crystal from Alexandria. Energies are from PBE.

a b c (Å): 6.315 6.315 6.315
angles (deg): 154.69 154.69 36.10
Fractional positions:
Re (0.333, 0.333, 0.000)
Pt (0.675, 0.675, 0.000)
Pt (0.992, 0.992, 0.000)

Values from the calculation:
magnetic moment	0.00	μB/cell
density of states at the Fermi level	2.2	states/eV/f.u.

***

4:
Here is a relaxed RePt2 crystal from Alexandria. Energies are from PBE.

a b c (Å): 2.697 3.920 19.062
angles (deg): 90.00 90.00 90.00
Fractional positions:
Re (0.000, 0.250, 0.614)
Re (0.000, 0.750, 0.386)
Re (0.500, 0.750, 0.114)
Re (0.500, 0.250, 0.886)
Pt (0.000, 0.250, 0.047)
Pt (0.500, 0.250, 0.453)
Pt (0.000, 0.250, 0.188)
Pt (0.500, 0.750, 0.547)
Pt (0.000, 0.750, 0.953)
Pt (0.500, 0.750, 0.688)
Pt (0.500, 0.250, 0.312)
Pt (0.000, 0.750, 0.812)

Values from the calculation:
magnetic moment	0.00	μB/cell
density of states at the Fermi level	2.8	states/eV/f.u.

***

Which of them is the most stable? Correct choice: 3.

***

1:
Here is a relaxed RePt2 crystal from Alexandria. Energies are from PBE.

a b c (Å): 7.396 7.396 4.525
angles (deg): 90.00 90.00 158.31
Fractional positions:
Pt (0.221, 0.779, 0.250)
Pt (0.551, 0.449, 0.250)
Pt (0.779, 0.221, 0.750)
Pt (0.449, 0.551, 0.750)
Re (0.886, 0.114, 0.250)
Re (0.114, 0.886, 0.750)

Values from the calculation:
magnetic moment	0.00	μB/cell
density of states at the Fermi level	1.9	states/eV/f.u.

***

2:
Here is a relaxed RePt2 crystal from Alexandria. Energies are from PBE.

a b c (Å): 2.782 3.961 4.791
angles (deg): 114.42 106.87 90.00
Fractional positions:
Pt (0.337, 0.337, 0.674)
Pt (0.663, 0.663, 0.326)
Re (0.000, 0.000, 0.000)

Values from the calculation:
magnetic moment	0.00	μB/cell
density of states at the Fermi level	1.9	states/eV/f.u.

***

Which of them is the most stable? Correct choice: 2.